1.
A plane-wave DFT calculation with GGA-PBE was carried out for a geometry-optimized AlCrIn2 structure.

Computed properties:
The calculation puts the magnetic moment at 0.98 μB/cell. The value obtained for the density of states at the Fermi level is 2.76 states/eV/f.u. The symmetry is Imm2 (44). The crystal system is orthorhombic. The calculation puts the energy of formation from the pure elements at 295 meV per atom. As for the energy: -4.4154 eV/atom.

Lattice parameters (Å, degrees): 6.8422 6.8422 6.8422 156.37 140.01 46.98
Fractional positions:
Al 0.0000 0.0000 0.0000
Cr 0.1728 0.6728 0.5000
In 0.3690 0.3690 0.0000
In 0.6732 0.1732 0.5000

=====

2.
A plane-wave DFT calculation with GGA-PBE was carried out for a geometry-optimized LiCeNd2 structure.

Computed properties:
The calculation puts the magnetic moment at 0.40 μB/cell. The value obtained for the density of states at the Fermi level is 6.46 states/eV/f.u. As for the energy above the most stable polymorph in this dataset: 0.107 eV/atom. The symmetry is R-3m (166). The crystal system is trigonal. The calculation puts the energy of formation from the pure elements at 190 meV per atom. As for the energy: -4.1555 eV/atom.

Lattice parameters (Å, degrees): 12.3838 12.3838 12.3838 16.21 16.21 16.21
Fractional positions:
Li 0.0000 0.0000 0.0000
Ce 0.5000 0.5000 0.5000
Nd 0.0893 0.0893 0.0893
Nd 0.9107 0.9107 0.9107

=====

3.
A plane-wave DFT calculation with GGA-PBE was carried out for a geometry-optimized AcZr2BiO8 structure.

Computed properties:
Its uncorrected formation energy is -30.23 eV/f.u. The calculation puts the magnetic moment at 0.00 μB/cell. The symmetry is Cmmm (65). The crystal system is orthorhombic. As for the energy: -7.9147 eV/atom.

Lattice parameters (Å, degrees): 5.1160 5.1160 6.9498 90.00 90.00 91.21
Fractional positions:
Ac 0.0000 0.0000 0.0000
Zr 0.5000 0.5000 0.2521
Zr 0.5000 0.5000 0.7479
Bi 0.0000 0.0000 0.5000
O 0.2088 0.2088 0.2811
O 0.2088 0.2088 0.7189
O 0.3037 0.6963 0.5000
O 0.3308 0.6692 0.0000
O 0.6692 0.3308 0.0000
O 0.6963 0.3037 0.5000
O 0.7912 0.7912 0.2811
O 0.7912 0.7912 0.7189

=====

4.
A plane-wave DFT calculation with GGA-PBE was carried out for a geometry-optimized Co2AsH structure.

Computed properties:
The calculation puts the magnetic moment at 0.00 μB/cell. The value obtained for the density of states at the Fermi level is 1.34 states/eV/f.u. As for the energy above the most stable polymorph in this dataset: 0.000 eV/atom. The symmetry is I-42d (122). The crystal system is tetragonal. As for the energy: -5.4672 eV/atom.

Lattice parameters (Å, degrees): 5.1708 5.1708 5.1708 127.07 127.07 78.14
Fractional positions:
Co 0.9996 0.6250 0.8746
Co 0.3750 0.2496 0.3746
Co 0.7504 0.1250 0.1254
Co 0.8750 0.0004 0.6254
As 0.2500 0.7500 0.5000
As 0.5000 0.5000 0.0000
H 0.0000 0.0000 0.0000
H 0.7500 0.2500 0.5000

=====

5.
A plane-wave DFT calculation with GGA-PBE was carried out for a geometry-optimized Ta2TcIr2 structure.

Computed properties:
The calculation puts the magnetic moment at 0.00 μB/cell. The value obtained for the density of states at the Fermi level is 5.60 states/eV/f.u. The symmetry is P4/mbm (127). The crystal system is tetragonal. The calculation puts the energy of formation from the pure elements at -240 meV per atom. As for the energy: -10.5982 eV/atom.

Lattice parameters (Å, degrees): 7.4934 7.4934 2.9697 90.00 90.00 90.00
Fractional positions:
Ta 0.1686 0.3314 0.0000
Ta 0.3314 0.8314 0.0000
Ta 0.6686 0.1686 0.0000
Ta 0.8314 0.6686 0.0000
Tc 0.0000 0.0000 0.5000
Tc 0.5000 0.5000 0.5000
Ir 0.1314 0.6314 0.5000
Ir 0.3686 0.1314 0.5000
Ir 0.6314 0.8686 0.5000
Ir 0.8686 0.3686 0.5000

=====

6.
A plane-wave DFT calculation with GGA-PBE was carried out for a geometry-optimized Tb3Co4Sn13 structure.

Computed properties:
The calculation puts the magnetic moment at 0.00 μB/cell. The value obtained for the density of states at the Fermi level is 9.05 states/eV/f.u. The symmetry is Pm-3n (223). The crystal system is cubic. The calculation puts the energy of formation from the pure elements at -341 meV per atom. As for the energy: -5.0586 eV/atom.

Lattice parameters (Å, degrees): 9.5614 9.5614 9.5614 90.00 90.00 90.00
Fractional positions:
Tb 0.0000 0.2500 0.5000
Tb 0.0000 0.7500 0.5000
Tb 0.2500 0.5000 0.0000
Tb 0.5000 0.0000 0.2500
Tb 0.5000 0.0000 0.7500
Tb 0.7500 0.5000 0.0000
Co 0.2500 0.2500 0.2500
Co 0.2500 0.2500 0.7500
Co 0.2500 0.7500 0.2500
Co 0.2500 0.7500 0.7500
Co 0.7500 0.2500 0.2500
Co 0.7500 0.2500 0.7500
Co 0.7500 0.7500 0.2500
Co 0.7500 0.7500 0.7500
Sn 0.0000 0.0000 0.0000
Sn 0.0000 0.3038 0.1576
Sn 0.0000 0.3038 0.8424
Sn 0.0000 0.6962 0.1576
Sn 0.0000 0.6962 0.8424
Sn 0.1576 0.0000 0.3038
Sn 0.1576 0.0000 0.6962
Sn 0.1962 0.5000 0.3424
Sn 0.1962 0.5000 0.6576
Sn 0.3038 0.1576 0.0000
Sn 0.3038 0.8424 0.0000
Sn 0.3424 0.1962 0.5000
Sn 0.3424 0.8038 0.5000
Sn 0.5000 0.3424 0.1962
Sn 0.5000 0.3424 0.8038
Sn 0.5000 0.5000 0.5000
Sn 0.5000 0.6576 0.1962
Sn 0.5000 0.6576 0.8038
Sn 0.6576 0.1962 0.5000
Sn 0.6576 0.8038 0.5000
Sn 0.6962 0.1576 0.0000
Sn 0.6962 0.8424 0.0000
Sn 0.8038 0.5000 0.3424
Sn 0.8038 0.5000 0.6576
Sn 0.8424 0.0000 0.3038
Sn 0.8424 0.0000 0.6962